--- 1 ---
First-principles (PBE) data for an optimized crystal structure of AcAl2Ag2, as listed in the Open Quantum Materials Database.

abc: 4.6135 4.6135 10.5891
angles: 90.00 90.00 90.00
Closest atoms and distances in Å follow each position.
Fractional positions:
1 Ac 0.0000 0.0000 0.0000  8 Ag 3.51, 8 Al 3.51
2 Ac 0.5000 0.5000 0.5000  8 Ag 3.51, 8 Al 3.51
3 Al 0.0000 0.0000 0.3773  1 Al 2.60, 4 Ag 2.67
4 Al 0.0000 0.0000 0.6227  1 Al 2.60, 4 Ag 2.67
5 Al 0.5000 0.5000 0.1227  1 Al 2.60, 4 Ag 2.67
6 Al 0.5000 0.5000 0.8773  1 Al 2.60, 4 Ag 2.67
7 Ag 0.0000 0.5000 0.2500  4 Al 2.67
8 Ag 0.0000 0.5000 0.7500  4 Al 2.67
9 Ag 0.5000 0.0000 0.2500  4 Al 2.67
10 Ag 0.5000 0.0000 0.7500  4 Al 2.67

Output
symmetry: I4/mmm, No. 139

=====

--- 2 ---
First-principles (PBE) data for an optimized crystal structure of AcAl2Ag2, as listed in the Open Quantum Materials Database.

abc: 4.4200 4.4200 11.5355
angles: 90.00 90.00 90.00
Closest atoms and distances in Å follow each position.
Fractional positions:
1 Ac 0.0000 0.0000 0.0000  8 Ag 3.43, 8 Al 3.63
2 Ac 0.5000 0.5000 0.5000  8 Ag 3.43, 8 Al 3.63
3 Al 0.0000 0.5000 0.2500  4 Ag 2.65
4 Al 0.0000 0.5000 0.7500  4 Ag 2.65
5 Al 0.5000 0.0000 0.2500  4 Ag 2.65
6 Al 0.5000 0.0000 0.7500  4 Ag 2.65
7 Ag 0.0000 0.0000 0.3776  4 Al 2.65, 1 Ag 2.83
8 Ag 0.0000 0.0000 0.6224  4 Al 2.65, 1 Ag 2.83
9 Ag 0.5000 0.5000 0.1224  4 Al 2.65, 1 Ag 2.83
10 Ag 0.5000 0.5000 0.8776  4 Al 2.65, 1 Ag 2.83

Output
symmetry: I4/mmm, No. 139

=====

Which of them is the most stable, and which is the least stable? 1 and 2, in that order.

=====

--- 1 ---
First-principles (PBE) data for an optimized crystal structure of AcAgAsO, as listed in the Open Quantum Materials Database.

abc: 4.2842 4.2842 9.1840
angles: 90.00 90.00 90.00
Closest atoms and distances in Å follow each position.
Fractional positions:
1 Ac 0.2500 0.2500 0.1366  4 O 2.48
2 Ac 0.7500 0.7500 0.8634  4 O 2.48
3 Ag 0.2500 0.7500 0.5000  4 As 2.68
4 Ag 0.7500 0.2500 0.5000  4 As 2.68
5 As 0.2500 0.2500 0.6747  4 Ag 2.68
6 As 0.7500 0.7500 0.3253  4 Ag 2.68
7 O 0.2500 0.7500 0.0000  4 Ac 2.48
8 O 0.7500 0.2500 0.0000  4 Ac 2.48

Output
symmetry: P4/nmm, No. 129

=====

--- 2 ---
First-principles (PBE) data for an optimized crystal structure of AcAgAsO, as listed in the Open Quantum Materials Database.

abc: 5.9932 5.9932 4.8998
angles: 90.00 90.00 90.00
Closest atoms and distances in Å follow each position.
Fractional positions:
1 Ac 0.2500 0.7500 0.0000  2 O 2.45
2 Ac 0.7500 0.2500 0.0000  2 O 2.45
3 Ag 0.2500 0.2500 0.4862  2 As 2.45
4 Ag 0.7500 0.7500 0.5138  2 As 2.45
5 As 0.2500 0.2500 0.9852  2 Ag 2.45
6 As 0.7500 0.7500 0.0148  2 Ag 2.45
7 O 0.2500 0.7500 0.5000  2 Ac 2.45
8 O 0.7500 0.2500 0.5000  2 Ac 2.45

Output
symmetry: P4/nmm, No. 129

=====

--- 3 ---
First-principles (PBE) data for an optimized crystal structure of AcAgAsO, as listed in the Open Quantum Materials Database.

abc: 6.4693 6.4693 4.7654
angles: 90.00 90.00 90.00
Closest atoms and distances in Å follow each position.
Fractional positions:
1 Ac 0.2500 0.7500 0.0000  2 O 2.38
2 Ac 0.7500 0.2500 0.0000  2 O 2.38
3 Ag 0.2500 0.2500 0.4981  2 As 2.38
4 Ag 0.7500 0.7500 0.5019  2 As 2.38
5 As 0.2500 0.2500 0.9981  2 Ag 2.38
6 As 0.7500 0.7500 0.0019  2 Ag 2.38
7 O 0.2500 0.7500 0.5000  2 Ac 2.38
8 O 0.7500 0.2500 0.5000  2 Ac 2.38

Output
symmetry: P4/nmm, No. 129

=====

Which of them is the most stable, and which is the least stable? 1 and 2, in that order.

=====

--- 1 ---
First-principles (PBE) data for an optimized crystal structure of AcBeAg, as listed in the Open Quantum Materials Database.

abc: 6.9250 6.9250 6.9250
angles: 90.00 90.00 90.00
Closest atoms and distances in Å follow each position.
Fractional positions:
1 Ac 0.0000 0.0000 0.0000  4 Ag 3.00
2 Ac 0.0000 0.5000 0.5000  4 Ag 3.00
3 Ac 0.5000 0.0000 0.5000  4 Ag 3.00
4 Ac 0.5000 0.5000 0.0000  4 Ag 3.00
5 Be 0.0000 0.0000 0.5000  4 Ag 3.00
6 Be 0.0000 0.5000 0.0000  4 Ag 3.00
7 Be 0.5000 0.0000 0.0000  4 Ag 3.00
8 Be 0.5000 0.5000 0.5000  4 Ag 3.00
9 Ag 0.2500 0.2500 0.2500  4 Ac 3.00, 4 Be 3.00
10 Ag 0.2500 0.7500 0.7500  4 Ac 3.00, 4 Be 3.00
11 Ag 0.7500 0.2500 0.7500  4 Ac 3.00, 4 Be 3.00
12 Ag 0.7500 0.7500 0.2500  4 Ac 3.00, 4 Be 3.00

Output
symmetry: F-43m, No. 216

=====

--- 2 ---
First-principles (PBE) data for an optimized crystal structure of AcBeAg, as listed in the Open Quantum Materials Database.

abc: 7.1716 7.1716 7.1716
angles: 90.00 90.00 90.00
Closest atoms and distances in Å follow each position.
Fractional positions:
1 Ac 0.0000 0.0000 0.0000  4 Ag 3.11, 4 Be 3.11
2 Ac 0.0000 0.5000 0.5000  4 Ag 3.11, 4 Be 3.11
3 Ac 0.5000 0.0000 0.5000  4 Ag 3.11, 4 Be 3.11
4 Ac 0.5000 0.5000 0.0000  4 Ag 3.11, 4 Be 3.11
5 Be 0.2500 0.2500 0.2500  4 Ac 3.11
6 Be 0.2500 0.7500 0.7500  4 Ac 3.11
7 Be 0.7500 0.2500 0.7500  4 Ac 3.11
8 Be 0.7500 0.7500 0.2500  4 Ac 3.11
9 Ag 0.2500 0.2500 0.7500  4 Ac 3.11
10 Ag 0.2500 0.7500 0.2500  4 Ac 3.11
11 Ag 0.7500 0.2500 0.2500  4 Ac 3.11
12 Ag 0.7500 0.7500 0.7500  4 Ac 3.11

Output
symmetry: F-43m, No. 216

=====

--- 3 ---
First-principles (PBE) data for an optimized crystal structure of AcBeAg, as listed in the Open Quantum Materials Database.

abc: 6.7711 6.7711 6.7711
angles: 90.00 90.00 90.00
Closest atoms and distances in Å follow each position.
Fractional positions:
1 Ac 0.0000 0.0000 0.0000  4 Be 2.93
2 Ac 0.0000 0.5000 0.5000  4 Be 2.93
3 Ac 0.5000 0.0000 0.5000  4 Be 2.93
4 Ac 0.5000 0.5000 0.0000  4 Be 2.93
5 Be 0.2500 0.2500 0.2500  4 Ac 2.93, 4 Ag 2.93
6 Be 0.2500 0.7500 0.7500  4 Ac 2.93, 4 Ag 2.93
7 Be 0.7500 0.2500 0.7500  4 Ac 2.93, 4 Ag 2.93
8 Be 0.7500 0.7500 0.2500  4 Ac 2.93, 4 Ag 2.93
9 Ag 0.0000 0.0000 0.5000  4 Be 2.93
10 Ag 0.0000 0.5000 0.0000  4 Be 2.93
11 Ag 0.5000 0.0000 0.0000  4 Be 2.93
12 Ag 0.5000 0.5000 0.5000  4 Be 2.93

Output
symmetry: F-43m, No. 216

=====

Which of them is the most stable, and which is the least stable? 3 and 2, in that order.

=====

--- 1 ---
First-principles (PBE) data for an optimized crystal structure of CsAcAg, as listed in the Open Quantum Materials Database.

abc: 7.7355 7.7355 7.7355
angles: 90.00 90.00 90.00
Closest atoms and distances in Å follow each position.
Fractional positions:
1 Cs 0.0000 0.0000 0.0000  4 Ac 3.35, 4 Ag 3.35
2 Cs 0.0000 0.5000 0.5000  4 Ac 3.35, 4 Ag 3.35
3 Cs 0.5000 0.0000 0.5000  4 Ac 3.35, 4 Ag 3.35
4 Cs 0.5000 0.5000 0.0000  4 Ac 3.35, 4 Ag 3.35
5 Ac 0.2500 0.2500 0.7500  4 Cs 3.35
6 Ac 0.2500 0.7500 0.2500  4 Cs 3.35
7 Ac 0.7500 0.2500 0.2500  4 Cs 3.35
8 Ac 0.7500 0.7500 0.7500  4 Cs 3.35
9 Ag 0.2500 0.2500 0.2500  4 Cs 3.35
10 Ag 0.2500 0.7500 0.7500  4 Cs 3.35
11 Ag 0.7500 0.2500 0.7500  4 Cs 3.35
12 Ag 0.7500 0.7500 0.2500  4 Cs 3.35

Output
symmetry: F-43m, No. 216

=====

--- 2 ---
First-principles (PBE) data for an optimized crystal structure of CsAcAg, as listed in the Open Quantum Materials Database.

abc: 7.8749 7.8749 7.8749
angles: 90.00 90.00 90.00
Closest atoms and distances in Å follow each position.
Fractional positions:
1 Cs 0.0000 0.0000 0.0000  4 Ac 3.41
2 Cs 0.0000 0.5000 0.5000  4 Ac 3.41
3 Cs 0.5000 0.0000 0.5000  4 Ac 3.41
4 Cs 0.5000 0.5000 0.0000  4 Ac 3.41
5 Ac 0.2500 0.2500 0.7500  4 Cs 3.41, 4 Ag 3.41
6 Ac 0.2500 0.7500 0.2500  4 Cs 3.41, 4 Ag 3.41
7 Ac 0.7500 0.2500 0.2500  4 Cs 3.41, 4 Ag 3.41
8 Ac 0.7500 0.7500 0.7500  4 Cs 3.41, 4 Ag 3.41
9 Ag 0.0000 0.0000 0.5000  4 Ac 3.41
10 Ag 0.0000 0.5000 0.0000  4 Ac 3.41
11 Ag 0.5000 0.0000 0.0000  4 Ac 3.41
12 Ag 0.5000 0.5000 0.5000  4 Ac 3.41

Output
symmetry: F-43m, No. 216

=====

Which of them is the most stable, and which is the least stable? 2 and 1, in that order.